Record 1
! NaLaPa (PBE-GGA, optimized geometry); values from VASP
! space group: Fmmm, No. 69
! formation energy: 0.62 eV/atom
&SYSTEM
  ibrav = 0, nat = 6, ntyp = 3
/
ATOMIC_SPECIES
Na 22.99 Na.upf
La 138.91 La.upf
Pa 231.04 Pa.upf
CELL_PARAMETERS angstrom
0.0000 5.4431 6.4987
2.8496 0.0000 6.4987
2.8496 5.4431 0.0000
ATOMIC_POSITIONS angstrom
Na 2.8496 1.7761 6.4987
Na 2.8496 9.1100 6.4987
La 2.8496 5.4431 4.4331
La 2.8496 5.4431 8.5642
Pa 1.4248 2.7215 3.2493
Pa 4.2744 8.1646 9.7480

=====

Record 2
! NaLa2PaS6 (PBE-GGA, optimized geometry); values from VASP
! formation energy from raw total energies: -1825 meV per atom
! space group: R3, No. 146
&SYSTEM
  ibrav = 0, nat = 10, ntyp = 4
/
ATOMIC_SPECIES
Na 22.99 Na.upf
La 138.91 La.upf
Pa 231.04 Pa.upf
S 32.06 S.upf
CELL_PARAMETERS angstrom
3.5997 2.0783 6.2541
-3.5997 2.0783 6.2541
0.0000 -4.1565 6.2541
ATOMIC_POSITIONS angstrom
Na 0.0000 0.0000 0.0000
La 0.0000 0.0000 5.2715
La 0.0000 0.0000 14.8308
Pa 0.0000 0.0000 9.1260
S -2.0252 -0.0070 7.4134
S -1.3664 -1.8414 10.4621
S 1.0186 -1.7504 7.4134
S -0.9115 2.1041 10.4621
S 1.0066 1.7574 7.4134
S 2.2779 -0.2626 10.4621

=====

Record 3
! NaLaPaSe4 (PBE-GGA, optimized geometry); values from VASP
! formation energy from raw total energies: -1555 meV per atom
! space group: Imma, No. 74
&SYSTEM
  ibrav = 0, nat = 14, ntyp = 4
/
ATOMIC_SPECIES
Na 22.99 Na.upf
La 138.91 La.upf
Pa 231.04 Pa.upf
Se 78.96 Se.upf
CELL_PARAMETERS angstrom
-4.2722 4.4183 6.2329
4.2722 -4.4183 6.2329
4.2722 4.4183 -6.2329
ATOMIC_POSITIONS angstrom
Na 0.0000 2.2091 1.5543
Na 4.2722 2.2091 4.6786
La 4.2722 0.0000 0.0000
La 0.0000 0.0000 6.2329
Pa 2.1361 2.2091 -3.1164
Pa 2.1361 -2.2091 3.1164
Se 4.2722 -0.2596 3.0302
Se 2.2453 2.2091 -0.2710
Se 4.2722 4.1587 -3.0302
Se 6.2990 2.2091 -0.2710
Se -2.0269 2.2091 6.5038
Se 0.0000 0.2596 9.2630
Se 2.0269 2.2091 6.5038
Se 0.0000 4.6778 3.2027

=====

Record 4
! Na2LaPaSe4 (PBE-GGA, optimized geometry); values from VASP
! formation energy from raw total energies: -1483 meV per atom
! space group: P2/m, No. 10
&SYSTEM
  ibrav = 0, nat = 8, ntyp = 4
/
ATOMIC_SPECIES
Na 22.99 Na.upf
La 138.91 La.upf
Pa 231.04 Pa.upf
Se 78.96 Se.upf
CELL_PARAMETERS angstrom
7.3951 0.0000 0.0000
0.0000 4.2095 0.0000
-2.4265 0.0000 7.0753
ATOMIC_POSITIONS angstrom
Na 0.0000 0.0000 0.0000
Na 3.6975 2.1048 0.0000
La -1.2133 2.1048 3.5376
Pa 2.4843 0.0000 3.5376
Se 0.1214 0.0000 5.2361
Se 1.3118 2.1048 1.8619
Se 3.6568 2.1048 5.2134
Se 4.8472 0.0000 1.8392

=====

Record 5
! Na3La2PaSe6 (PBE-GGA, optimized geometry); values from VASP
! formation energy from raw total energies: -1568 meV per atom
! space group: C2/m, No. 12
&SYSTEM
  ibrav = 0, nat = 12, ntyp = 4
/
ATOMIC_SPECIES
Na 22.99 Na.upf
La 138.91 La.upf
Pa 231.04 Pa.upf
Se 78.96 Se.upf
CELL_PARAMETERS angstrom
3.7196 -6.4412 0.0000
3.7196 6.4412 0.0000
-2.4883 0.0000 7.0167
ATOMIC_POSITIONS angstrom
Na 0.0000 0.0000 0.0000
Na 3.7196 2.1660 0.0000
Na 3.7196 -2.1660 0.0000
La 2.4755 4.2931 3.5083
La 2.4755 -4.2931 3.5083
Pa 2.4755 0.0000 3.5083
Se 1.2831 2.0650 1.8288
Se 0.0916 0.0000 5.1709
Se 1.2831 -2.0650 1.8288
Se 3.6678 2.0650 5.1879
Se 4.8594 0.0000 1.8458
Se 3.6678 -2.0650 5.1879

=====

Record 6
! Na3La2PaTe6 (PBE-GGA, optimized geometry); values from VASP
! formation energy from raw total energies: -1200 meV per atom
! space group: C2/m, No. 12
&SYSTEM
  ibrav = 0, nat = 12, ntyp = 4
/
ATOMIC_SPECIES
Na 22.99 Na.upf
La 138.91 La.upf
Pa 231.04 Pa.upf
Te 127.60 Te.upf
CELL_PARAMETERS angstrom
3.9493 -6.8414 0.0000
3.9493 6.8414 0.0000
-2.6379 0.0000 7.5675
ATOMIC_POSITIONS angstrom
Na 0.0000 0.0000 0.0000
Na 3.9493 2.3170 0.0000
Na 3.9493 -2.3170 0.0000
La 2.6303 4.5641 3.7838
La 2.6303 -4.5641 3.7838
Pa 2.6303 0.0000 3.7838
Te 1.3558 2.2106 1.9509
Te 0.0822 0.0000 5.6097
Te 1.3558 -2.2106 1.9509
Te 3.9048 2.2106 5.6166
Te 5.1784 0.0000 1.9578
Te 3.9048 -2.2106 5.6166

=====

Record 7
! Na3LaPa2Te6 (PBE-GGA, optimized geometry); values from VASP
! formation energy from raw total energies: -1017 meV per atom
! space group: C2/m, No. 12
&SYSTEM
  ibrav = 0, nat = 12, ntyp = 4
/
ATOMIC_SPECIES
Na 22.99 Na.upf
La 138.91 La.upf
Pa 231.04 Pa.upf
Te 127.60 Te.upf
CELL_PARAMETERS angstrom
3.8433 -6.6588 0.0000
3.8433 6.6588 0.0000
-2.5717 0.0000 7.7230
ATOMIC_POSITIONS angstrom
Na 0.0000 0.0000 0.0000
Na 3.8433 2.1611 0.0000
Na 3.8433 -2.1611 0.0000
La 2.5574 0.0000 3.8615
Pa 2.5574 4.4309 3.8615
Pa 2.5574 -4.4309 3.8615
Te 1.2364 2.2876 1.9979
Te -0.0881 0.0000 5.7177
Te 1.2364 -2.2876 1.9979
Te 3.8785 2.2876 5.7250
Te 5.2029 0.0000 2.0053
Te 3.8785 -2.2876 5.7250

=====

Record 8
! NaLa2Pb (PBE-GGA, optimized geometry); values from VASP
! space group: P4/mmm, No. 123
! formation energy: -0.26 eV/atom
&SYSTEM
  ibrav = 0, nat = 4, ntyp = 3
/
ATOMIC_SPECIES
Na 22.99 Na.upf
La 138.91 La.upf
Pb 207.20 Pb.upf
CELL_PARAMETERS angstrom
5.2357 0.0000 0.0000
0.0000 5.2357 0.0000
0.0000 0.0000 4.6867
ATOMIC_POSITIONS angstrom
Na 0.0000 0.0000 0.0000
La 0.0000 2.6179 2.3433
La 2.6179 0.0000 2.3433
Pb 2.6179 2.6179 0.0000

=====

Record 9
! NaLa6Pb5 (PBE-GGA, optimized geometry); values from VASP
! space group: Immm, No. 71
! formation energy: -0.50 eV/atom
&SYSTEM
  ibrav = 0, nat = 12, ntyp = 3
/
ATOMIC_SPECIES
Na 22.99 Na.upf
La 138.91 La.upf
Pb 207.20 Pb.upf
CELL_PARAMETERS angstrom
-2.9712 3.6100 9.0226
2.9712 -3.6100 9.0226
2.9712 3.6100 -9.0226
ATOMIC_POSITIONS angstrom
Na 0.0000 0.0000 0.0000
La 2.9712 -1.7227 5.8751
La 2.9712 2.0184 0.0000
La 0.0000 1.8874 3.1475
La 2.9712 1.7227 5.8751
La 0.0000 1.5916 9.0226
La 0.0000 5.3327 3.1475
Pb 2.9712 0.0000 2.7238
Pb 0.0000 0.0000 5.9755
Pb 0.0000 3.6100 0.0000
Pb 0.0000 0.0000 12.0696
Pb 0.0000 3.6100 6.2987

=====

Record 10
! NaLa2Pb9 (PBE-GGA, optimized geometry); values from VASP
! space group: P4/mmm, No. 123
! formation energy: -0.33 eV/atom
&SYSTEM
  ibrav = 0, nat = 12, ntyp = 3
/
ATOMIC_SPECIES
Na 22.99 Na.upf
La 138.91 La.upf
Pb 207.20 Pb.upf
CELL_PARAMETERS angstrom
4.9274 0.0000 0.0000
0.0000 4.9274 0.0000
0.0000 0.0000 14.9722
ATOMIC_POSITIONS angstrom
Na 0.0000 0.0000 0.0000
La 0.0000 0.0000 5.0410
La 0.0000 0.0000 9.9312
Pb 0.0000 2.4637 2.4171
Pb 0.0000 2.4637 7.4861
Pb 0.0000 2.4637 12.5551
Pb 2.4637 0.0000 2.4171
Pb 2.4637 0.0000 7.4861
Pb 2.4637 0.0000 12.5551
Pb 2.4637 2.4637 0.0000
Pb 2.4637 2.4637 4.9213
Pb 2.4637 2.4637 10.0510

=====

Record 11
! NaLa3Pb (PBE-GGA, optimized geometry); values from VASP
! space group: Pm-3m, No. 221
! formation energy: 0.24 eV/atom
&SYSTEM
  ibrav = 0, nat = 5, ntyp = 3
/
ATOMIC_SPECIES
Na 22.99 Na.upf
La 138.91 La.upf
Pb 207.20 Pb.upf
CELL_PARAMETERS angstrom
6.2291 0.0000 0.0000
0.0000 6.2291 0.0000
0.0000 0.0000 6.2291
ATOMIC_POSITIONS angstrom
Na 0.0000 0.0000 0.0000
La 0.0000 3.1145 3.1145
La 3.1145 0.0000 3.1145
La 3.1145 3.1145 0.0000
Pb 3.1145 3.1145 3.1145

=====

Record 12
! NaLaPb3 (PBE-GGA, optimized geometry); values from VASP
! space group: Pm-3m, No. 221
! formation energy: 0.12 eV/atom
&SYSTEM
  ibrav = 0, nat = 5, ntyp = 3
/
ATOMIC_SPECIES
Na 22.99 Na.upf
La 138.91 La.upf
Pb 207.20 Pb.upf
CELL_PARAMETERS angstrom
5.4590 0.0000 0.0000
0.0000 5.4590 0.0000
0.0000 0.0000 5.4590
ATOMIC_POSITIONS angstrom
Na 0.0000 0.0000 0.0000
La 2.7295 2.7295 2.7295
Pb 0.0000 0.0000 2.7295
Pb 0.0000 2.7295 0.0000
Pb 2.7295 0.0000 0.0000

=====

Number 1: total magnetic moment 0.339 μB per atom. Number 2: total magnetic moment 0.000 μB per atom. Number 3: total magnetic moment 0.144 μB per atom. Number 4: total magnetic moment 0.245 μB per atom. Number 5: total magnetic moment 0.155 μB per atom. Number 6: total magnetic moment 0.153 μB per atom. Number 7: total magnetic moment 0.322 μB per atom. Number 8: total magnetic moment 0.000 μB per atom. Number 9: total magnetic moment 0.085 μB per atom. Number 10: total magnetic moment 0.000 μB per atom. Number 11: total magnetic moment 0.460 μB per atom. Number 12: total magnetic moment 0.000 μB per atom.